# 1
# Ac2B3Rh5 | Alexandria via LeMat-Bulk | PBE | relaxed
# - Energy of formation: -0.498 eV per atom
# - ρ: 9.304 g cm⁻³
# - M_tot: 0.0 μB/cell
data_Ac2B3Rh5
_symmetry_space_group_name_H-M 'I b a m'
_symmetry_Int_Tables_number 72
_symmetry_space_group_name_Hall '-I 2 2c'
_cell_length_a 9.9862
_cell_length_b 12.6023
_cell_length_c 5.6779
_cell_angle_alpha 90.00
_cell_angle_beta 90.00
_cell_angle_gamma 90.00
loop_
_atom_site_label
_atom_site_fract_x
_atom_site_fract_y
_atom_site_fract_z
Ac1 0.2390 0.1286 0.0000
B1 0.0000 0.0000 0.2500
B2 0.0681 0.3840 0.0000
Rh1 0.0000 0.2797 0.2500
Rh2 0.0000 0.5000 0.2500
Rh3 0.0810 0.0972 0.5000


# 2
# Ac2BRh4 | Alexandria via LeMat-Bulk | PBE | relaxed
# - Energy of formation: -0.502 eV per atom
# - ρ: 9.812 g cm⁻³
# - M_tot: 0.0 μB/cell
data_Ac2BRh4
_symmetry_space_group_name_H-M 'F m m m'
_symmetry_Int_Tables_number 69
_symmetry_space_group_name_Hall '-F 2 2'
_cell_length_a 8.0153
_cell_length_b 8.0795
_cell_length_c 9.1619
_cell_angle_alpha 90.00
_cell_angle_beta 90.00
_cell_angle_gamma 90.00
loop_
_atom_site_label
_atom_site_fract_x
_atom_site_fract_y
_atom_site_fract_z
Ac1 0.2500 0.2500 0.2500
B1 0.0000 0.0000 0.0000
Rh1 0.0000 0.2441 0.5000
Rh2 0.2421 0.0000 0.5000


# 3
# AcB3Rh6 | Alexandria via LeMat-Bulk | PBE | relaxed
# - Energy of formation: -0.339 eV per atom
# - ρ: 10.239 g cm⁻³
# - M_tot: 0.0 μB/cell
data_AcB3Rh6
_symmetry_space_group_name_H-M 'R 3'
_symmetry_Int_Tables_number 146
_symmetry_space_group_name_Hall 'R 3'
_cell_length_a 5.6179
_cell_length_b 5.6179
_cell_length_c 15.6089
_cell_angle_alpha 90.00
_cell_angle_beta 90.00
_cell_angle_gamma 120.00
loop_
_atom_site_label
_atom_site_fract_x
_atom_site_fract_y
_atom_site_fract_z
Ac1 0.0000 0.0000 0.0000
B1 0.0000 0.0000 0.1856
B2 0.0000 0.0000 0.3724
B3 0.0000 0.0000 0.7090
Rh1 0.0042 0.4508 0.1253
Rh2 0.1616 0.8277 0.2748


# 4
# Ac3B2Rh4 | Alexandria via LeMat-Bulk | PBE | relaxed
# - Energy of formation: -0.504 eV per atom
# - ρ: 10.015 g cm⁻³
# - M_tot: 0.0 μB/cell
data_Ac3B2Rh4
_symmetry_space_group_name_H-M 'C 1 2/m 1'
_symmetry_Int_Tables_number 12
_cell_length_a 11.4552
_cell_length_b 4.0457
_cell_length_c 8.5099
_cell_angle_alpha 90.00
_cell_angle_beta 110.46
_cell_angle_gamma 90.00
loop_
_symmetry_equiv_pos_as_xyz
'x,y,z'
'-x,-y,-z'
'-x,y,-z'
'x,-y,z'
'x+1/2,y+1/2,z'
'-x+1/2,-y+1/2,-z'
'-x+1/2,y+1/2,-z'
'x+1/2,-y+1/2,z'
loop_
_atom_site_label
_atom_site_fract_x
_atom_site_fract_y
_atom_site_fract_z
Ac1 0.0000 0.0000 0.0000
Ac2 0.1149 0.5000 0.6929
B1 0.1775 0.5000 0.3358
Rh1 0.1628 0.0000 0.4206
Rh2 0.2078 0.5000 0.1022


# 5
# Ac3B5Rh12 | Alexandria via LeMat-Bulk | PBE | relaxed
# - Energy of formation: -0.174 eV per atom
# - ρ: 9.408 g cm⁻³
# - M_tot: 0.0 μB/cell
data_Ac3B5Rh12
_symmetry_space_group_name_H-M 'I a -3 d'
_symmetry_Int_Tables_number 230
_symmetry_space_group_name_Hall '-I 4bd 2c 3'
_cell_length_a 14.0634
_cell_length_b 14.0634
_cell_length_c 14.0634
_cell_angle_alpha 90.00
_cell_angle_beta 90.00
_cell_angle_gamma 90.00
loop_
_atom_site_label
_atom_site_fract_x
_atom_site_fract_y
_atom_site_fract_z
Ac1 0.0000 0.2500 0.1250
B1 0.0000 0.0000 0.0000
B2 0.0000 0.2500 0.3750
Rh1 0.0509 0.1305 0.9360


# 6
# Ac2B4Rh5 | Alexandria via LeMat-Bulk | PBE | relaxed
# - Energy of formation: -0.620 eV per atom
# - ρ: 10.153 g cm⁻³
# - M_tot: 0.0 μB/cell
data_Ac2B4Rh5
_symmetry_space_group_name_H-M 'F m m m'
_symmetry_Int_Tables_number 69
_symmetry_space_group_name_Hall '-F 2 2'
_cell_length_a 5.6026
_cell_length_b 10.2831
_cell_length_c 11.4886
_cell_angle_alpha 90.00
_cell_angle_beta 90.00
_cell_angle_gamma 90.00
loop_
_atom_site_label
_atom_site_fract_x
_atom_site_fract_y
_atom_site_fract_z
Ac1 0.0000 0.0000 0.1458
B1 0.0000 0.1642 0.3722
Rh1 0.0000 0.0000 0.5000
Rh2 0.2500 0.2500 0.0000
Rh3 0.2500 0.2500 0.2500


# 7
# Ac3B7Rh | Alexandria via LeMat-Bulk | PBE | relaxed
# - Energy of formation: -0.157 eV per atom
# - ρ: 8.677 g cm⁻³
# - M_tot: 0.0 μB/cell
data_Ac3B7Rh
_symmetry_space_group_name_H-M 'C m c m'
_symmetry_Int_Tables_number 63
_symmetry_space_group_name_Hall '-C 2c 2'
_cell_length_a 3.7021
_cell_length_b 16.8257
_cell_length_c 10.5634
_cell_angle_alpha 90.00
_cell_angle_beta 90.00
_cell_angle_gamma 90.00
loop_
_atom_site_label
_atom_site_fract_x
_atom_site_fract_y
_atom_site_fract_z
Ac1 0.0000 0.0965 0.0520
Ac2 0.0000 0.2628 0.7500
B1 0.0000 0.2721 0.0326
B2 0.0000 0.3543 0.1552
B3 0.0000 0.4573 0.1389
B4 0.0000 0.4712 0.7500
Rh1 0.0000 0.0752 0.7500


# 8
# Ac2B10Rh | Alexandria via LeMat-Bulk | PBE | relaxed
# - Energy of formation: -0.534 eV per atom
# - ρ: 7.475 g cm⁻³
# - M_tot: 0.0 μB/cell
data_Ac2B10Rh
_symmetry_space_group_name_H-M 'P b a m'
_symmetry_Int_Tables_number 55
_cell_length_a 5.8672
_cell_length_b 11.6988
_cell_length_c 4.3049
_cell_angle_alpha 90.00
_cell_angle_beta 90.00
_cell_angle_gamma 90.00
loop_
_symmetry_equiv_pos_as_xyz
'x,y,z'
'-x,-y,-z'
'-x,-y,z'
'x,y,-z'
'x+1/2,-y+1/2,-z'
'-x+1/2,y+1/2,z'
'-x+1/2,y+1/2,-z'
'x+1/2,-y+1/2,z'
loop_
_atom_site_label
_atom_site_fract_x
_atom_site_fract_y
_atom_site_fract_z
Ac1 0.2092 0.1340 0.0000
B1 0.0593 0.3073 0.5000
B2 0.1194 0.9556 0.5000
B3 0.1378 0.8034 0.5000
B4 0.2179 0.3822 0.2024
Rh1 0.0000 0.5000 0.5000


# 9
# AcB4Rh12 | Alexandria via LeMat-Bulk | PBE | relaxed
# - Energy of formation: -0.020 eV per atom
# - ρ: 10.346 g cm⁻³
# - M_tot: 0.0 μB/cell
data_AcB4Rh12
_symmetry_space_group_name_H-M 'I m -3'
_symmetry_Int_Tables_number 204
_symmetry_space_group_name_Hall '-I 2 2 3'
_cell_length_a 7.8467
_cell_length_b 7.8467
_cell_length_c 7.8467
_cell_angle_alpha 90.00
_cell_angle_beta 90.00
_cell_angle_gamma 90.00
loop_
_atom_site_label
_atom_site_fract_x
_atom_site_fract_y
_atom_site_fract_z
Ac1 0.0000 0.0000 0.0000
B1 0.2500 0.2500 0.2500
Rh1 0.0000 0.3275 0.1759


# 10
# AcBRh4 | Alexandria via LeMat-Bulk | PBE | relaxed
# - Energy of formation: 0.042 eV per atom
# - ρ: 9.501 g cm⁻³
# - M_tot: 0.0 μB/cell
data_AcBRh4
_symmetry_space_group_name_H-M 'I 41/a m d'
_symmetry_Int_Tables_number 141
_cell_length_a 5.0226
_cell_length_b 5.0226
_cell_length_c 17.9972
_cell_angle_alpha 90.00
_cell_angle_beta 90.00
_cell_angle_gamma 90.00
loop_
_symmetry_equiv_pos_as_xyz
'x,y,z'
'-x,-y,-z'
'-y+1/4,x+3/4,z+1/4'
'y+1/4,-x+3/4,-z+1/4'
'-x+1/2,-y,z+1/2'
'x+1/2,y,-z+1/2'
'y+1/4,-x+1/4,z+3/4'
'-y+1/4,x+1/4,-z+3/4'
'x,-y,-z'
'-x,y,z'
'-y+1/4,-x+1/4,-z+3/4'
'y+1/4,x+1/4,z+3/4'
'-x+1/2,y,-z+1/2'
'x+1/2,-y,z+1/2'
'y+1/4,x+3/4,-z+1/4'
'-y+1/4,-x+3/4,z+1/4'
'x+1/2,y+1/2,z+1/2'
'-x+1/2,-y+1/2,-z+1/2'
'-y+3/4,x+1/4,z+3/4'
'y+3/4,-x+1/4,-z+3/4'
'-x,-y+1/2,z'
'x,y+1/2,-z'
'y+3/4,-x+3/4,z+1/4'
'-y+3/4,x+3/4,-z+1/4'
'x+1/2,-y+1/2,-z+1/2'
'-x+1/2,y+1/2,z+1/2'
'-y+3/4,-x+3/4,-z+1/4'
'y+3/4,x+3/4,z+1/4'
'-x,y+1/2,-z'
'x,-y+1/2,z'
'y+3/4,x+1/4,-z+3/4'
'-y+3/4,-x+1/4,z+3/4'
loop_
_atom_site_label
_atom_site_fract_x
_atom_site_fract_y
_atom_site_fract_z
Ac1 0.0000 0.2500 0.3750
B1 0.0000 0.2500 0.8750
Rh1 0.0000 0.0019 0.7811


# 11
# AcB2RuRh | Alexandria via LeMat-Bulk | PBE | relaxed
# - Energy of formation: -0.533 eV per atom
# - ρ: 9.004 g cm⁻³
# - M_tot: 0.0 μB/cell
data_AcB2RuRh
_symmetry_space_group_name_H-M 'I -4 m 2'
_symmetry_Int_Tables_number 119
_symmetry_space_group_name_Hall 'I -4 -2'
_cell_length_a 3.9865
_cell_length_b 3.9865
_cell_length_c 10.5043
_cell_angle_alpha 90.00
_cell_angle_beta 90.00
_cell_angle_gamma 90.00
loop_
_atom_site_label
_atom_site_fract_x
_atom_site_fract_y
_atom_site_fract_z
Ac1 0.0000 0.0000 0.0000
B1 0.0000 0.0000 0.3226
Ru1 0.0000 0.5000 0.7500
Rh1 0.0000 0.5000 0.2500


# 12
# AcBSbRh6 | Alexandria via LeMat-Bulk | PBE | relaxed
# - ρ: 10.128 g cm⁻³
# - M_tot: 0.0 μB/cell
# - Formation energy from raw total energies: -112 meV/atom
data_AcBSbRh6
_symmetry_space_group_name_H-M 'I m m a'
_symmetry_Int_Tables_number 74
_symmetry_space_group_name_Hall '-I 2b 2'
_cell_length_a 6.7214
_cell_length_b 8.4166
_cell_length_c 11.3268
_cell_angle_alpha 90.00
_cell_angle_beta 90.00
_cell_angle_gamma 90.00
loop_
_atom_site_label
_atom_site_fract_x
_atom_site_fract_y
_atom_site_fract_z
Ac1 0.0000 0.2500 0.1939
B1 0.0000 0.0000 0.5000
Sb1 0.2500 0.2500 0.7500
Rh1 0.0000 0.2500 0.5036
Rh2 0.0000 0.2500 0.9226
Rh3 0.2255 0.0023 0.3786